[1]
A plane-wave DFT calculation with PBE was carried out for crystalline SrGdPd2 at its relaxed geometry.

The structure in CIF format:
```
data_SrGdPd2
_chemical_formula_sum 'Sr1 Gd1 Pd2'
_cell_length_a 3.610
_cell_length_b 3.610
_cell_length_c 7.411
_cell_angle_alpha 90.00
_cell_angle_beta 90.00
_cell_angle_gamma 90.00
_space_group_name_H-M_alt 'P 4/m m m'
_space_group_IT_number 123
_space_group_name_Hall '-P 4 2'
loop_
_atom_site_label
_atom_site_type_symbol
_atom_site_fract_x
_atom_site_fract_y
_atom_site_fract_z
_atom_site_occupancy
Sr1 Sr 0.000 0.000 0.000 1
Gd1 Gd 0.000 0.000 0.500 1
Pd1 Pd 0.500 0.500 0.289 1
```

uncorrected energy = -7.27 eV/atom
crystal system = tetragonal
energy above the most stable polymorph in this dataset = 0.0 meV/atom
energy of formation from the pure elements = -2.950 eV per formula unit
Fermi-level density of states = 1.71 states/eV/f.u.

=====

[2]
A plane-wave DFT calculation with PBE was carried out for crystalline Sr2GdPd at its relaxed geometry.

The structure in CIF format:
```
data_Sr2GdPd
_chemical_formula_sum 'Sr6 Gd3 Pd3'
_cell_length_a 3.9659
_cell_length_b 3.9659
_cell_length_c 33.8575
_cell_angle_alpha 90.00
_cell_angle_beta 90.00
_cell_angle_gamma 120.00
_space_group_name_H-M_alt 'R -3 m'
_space_group_IT_number 166
_space_group_name_Hall '-R 3 2"'
loop_
_atom_site_label
_atom_site_type_symbol
_atom_site_fract_x
_atom_site_fract_y
_atom_site_fract_z
_atom_site_occupancy
Sr1 Sr 0.0000 0.0000 0.1099 1
Gd1 Gd 0.0000 0.0000 0.0000 1
Pd1 Pd 0.0000 0.0000 0.5000 1
```

uncorrected energy = -5.65 eV/atom
crystal system = trigonal
energy of formation from the pure elements = 0.026 eV per formula unit
Fermi-level density of states = 7.50 states/eV/f.u.

=====

[3]
A plane-wave DFT calculation with PBE was carried out for crystalline SrGdPd4 at its relaxed geometry.

The structure in CIF format:
```
data_SrGdPd4
_chemical_formula_sum 'Sr4 Gd4 Pd16'
_cell_length_a 7.823
_cell_length_b 7.823
_cell_length_c 7.823
_cell_angle_alpha 90.00
_cell_angle_beta 90.00
_cell_angle_gamma 90.00
_space_group_name_H-M_alt 'F -4 3 m'
_space_group_IT_number 216
_space_group_name_Hall 'F -4 2 3'
loop_
_atom_site_label
_atom_site_type_symbol
_atom_site_fract_x
_atom_site_fract_y
_atom_site_fract_z
_atom_site_occupancy
Sr1 Sr 0.000 0.000 0.000 1
Gd1 Gd 0.250 0.250 0.250 1
Pd1 Pd 0.125 0.125 0.625 1
```

uncorrected energy = -6.77 eV/atom
crystal system = cubic
energy of formation from the pure elements = -4.102 eV per formula unit
Fermi-level density of states = 6.94 states/eV/f.u.

=====

[4]
A plane-wave DFT calculation with PBE was carried out for crystalline SrGdPd2 at its relaxed geometry.

The structure in CIF format:
```
data_SrGdPd2
_chemical_formula_sum 'Sr4 Gd4 Pd8'
_cell_length_a 7.233
_cell_length_b 7.233
_cell_length_c 7.233
_cell_angle_alpha 90.00
_cell_angle_beta 90.00
_cell_angle_gamma 90.00
_space_group_name_H-M_alt 'F m -3 m'
_space_group_IT_number 225
_space_group_name_Hall '-F 4 2 3'
loop_
_atom_site_label
_atom_site_type_symbol
_atom_site_fract_x
_atom_site_fract_y
_atom_site_fract_z
_atom_site_occupancy
Sr1 Sr 0.000 0.000 0.000 1
Gd1 Gd 0.000 0.000 0.500 1
Pd1 Pd 0.250 0.250 0.250 1
```

uncorrected energy = -7.18 eV/atom
crystal system = cubic
energy above the most stable polymorph in this dataset = 92.4 meV/atom
energy of formation from the pure elements = -2.580 eV per formula unit
Fermi-level density of states = 3.95 states/eV/f.u.

=====

[5]
A plane-wave DFT calculation with PBE was carried out for crystalline SrGdZnPd at its relaxed geometry.

The structure in CIF format:
```
data_SrGdZnPd
_chemical_formula_sum 'Sr4 Gd4 Zn4 Pd4'
_cell_length_a 7.339
_cell_length_b 7.339
_cell_length_c 7.339
_cell_angle_alpha 90.00
_cell_angle_beta 90.00
_cell_angle_gamma 90.00
_space_group_name_H-M_alt 'F -4 3 m'
_space_group_IT_number 216
_space_group_name_Hall 'F -4 2 3'
loop_
_atom_site_label
_atom_site_type_symbol
_atom_site_fract_x
_atom_site_fract_y
_atom_site_fract_z
_atom_site_occupancy
Sr1 Sr 0.000 0.000 0.000 1
Gd1 Gd 0.000 0.000 0.500 1
Zn1 Zn 0.250 0.250 0.250 1
Pd1 Pd 0.250 0.250 0.750 1
```

uncorrected energy = -5.96 eV/atom
crystal system = cubic
energy of formation from the pure elements = -1.615 eV per formula unit
Fermi-level density of states = 3.52 states/eV/f.u.

=====

[6]
A plane-wave DFT calculation with PBE was carried out for crystalline TbGdPd2 at its relaxed geometry.

The structure in CIF format:
```
data_TbGdPd2
_chemical_formula_sum 'Tb3 Gd3 Pd6'
_cell_length_a 4.1055
_cell_length_b 4.1055
_cell_length_c 20.1574
_cell_angle_alpha 90.00
_cell_angle_beta 90.00
_cell_angle_gamma 120.00
_space_group_name_H-M_alt 'R -3 m'
_space_group_IT_number 166
_space_group_name_Hall '-R 3 2"'
loop_
_atom_site_label
_atom_site_type_symbol
_atom_site_fract_x
_atom_site_fract_y
_atom_site_fract_z
_atom_site_occupancy
Tb1 Tb 0.0000 0.0000 0.0000 1
Gd1 Gd 0.0000 0.0000 0.5000 1
Pd1 Pd 0.0000 0.0000 0.2510 1
```

uncorrected energy = -8.00 eV/atom
crystal system = trigonal
energy of formation from the pure elements = -2.909 eV per formula unit
Fermi-level density of states = 2.74 states/eV/f.u.

=====

[7]
A plane-wave DFT calculation with PBE was carried out for crystalline TbGdPd2 at its relaxed geometry.

The structure in CIF format:
```
data_TbGdPd2
_chemical_formula_sum 'Tb1 Gd1 Pd2'
_cell_length_a 5.044
_cell_length_b 5.044
_cell_length_c 3.462
_cell_angle_alpha 90.00
_cell_angle_beta 90.00
_cell_angle_gamma 90.00
_space_group_name_H-M_alt 'P 4/m m m'
_space_group_IT_number 123
_space_group_name_Hall '-P 4 2'
loop_
_atom_site_label
_atom_site_type_symbol
_atom_site_fract_x
_atom_site_fract_y
_atom_site_fract_z
_atom_site_occupancy
Tb1 Tb 0.000 0.000 0.000 1
Gd1 Gd 0.500 0.500 0.000 1
Pd1 Pd 0.000 0.500 0.500 1
```

uncorrected energy = -8.12 eV/atom
crystal system = tetragonal
energy of formation from the pure elements = -3.401 eV per formula unit
Fermi-level density of states = 2.42 states/eV/f.u.

=====

[8]
A plane-wave DFT calculation with PBE was carried out for crystalline Tb2GdPd at its relaxed geometry.

The structure in CIF format:
```
data_Tb2GdPd
_chemical_formula_sum 'Tb6 Gd3 Pd3'
_cell_length_a 3.6773
_cell_length_b 3.6773
_cell_length_c 29.5064
_cell_angle_alpha 90.00
_cell_angle_beta 90.00
_cell_angle_gamma 120.00
_space_group_name_H-M_alt 'R -3 m'
_space_group_IT_number 166
_space_group_name_Hall '-R 3 2"'
loop_
_atom_site_label
_atom_site_type_symbol
_atom_site_fract_x
_atom_site_fract_y
_atom_site_fract_z
_atom_site_occupancy
Tb1 Tb 0.0000 0.0000 0.2324 1
Gd1 Gd 0.0000 0.0000 0.0000 1
Pd1 Pd 0.0000 0.0000 0.5000 1
```

uncorrected energy = -7.42 eV/atom
crystal system = trigonal
energy above the most stable polymorph in this dataset = 111.0 meV/atom
energy of formation from the pure elements = -1.135 eV per formula unit
Fermi-level density of states = 5.12 states/eV/f.u.

=====

[9]
A plane-wave DFT calculation with PBE was carried out for crystalline TbGdPd4 at its relaxed geometry.

The structure in CIF format:
```
data_TbGdPd4
_chemical_formula_sum 'Tb4 Gd4 Pd16'
_cell_length_a 7.720
_cell_length_b 7.720
_cell_length_c 7.720
_cell_angle_alpha 90.00
_cell_angle_beta 90.00
_cell_angle_gamma 90.00
_space_group_name_H-M_alt 'F -4 3 m'
_space_group_IT_number 216
_space_group_name_Hall 'F -4 2 3'
loop_
_atom_site_label
_atom_site_type_symbol
_atom_site_fract_x
_atom_site_fract_y
_atom_site_fract_z
_atom_site_occupancy
Tb1 Tb 0.000 0.000 0.000 1
Gd1 Gd 0.250 0.250 0.750 1
Pd1 Pd 0.125 0.125 0.375 1
```

uncorrected energy = -7.39 eV/atom
crystal system = cubic
energy of formation from the pure elements = -4.834 eV per formula unit
Fermi-level density of states = 2.99 states/eV/f.u.

=====

[10]
A plane-wave DFT calculation with PBE was carried out for crystalline Tb2GdPd at its relaxed geometry.

The structure in CIF format:
```
data_Tb2GdPd
_chemical_formula_sum 'Tb2 Gd1 Pd1'
_cell_length_a 3.583
_cell_length_b 3.583
_cell_length_c 8.538
_cell_angle_alpha 90.00
_cell_angle_beta 90.00
_cell_angle_gamma 90.00
_space_group_name_H-M_alt 'P 4/m m m'
_space_group_IT_number 123
_space_group_name_Hall '-P 4 2'
loop_
_atom_site_label
_atom_site_type_symbol
_atom_site_fract_x
_atom_site_fract_y
_atom_site_fract_z
_atom_site_occupancy
Tb1 Tb 0.000 0.000 0.197 1
Gd1 Gd 0.500 0.500 0.500 1
Pd1 Pd 0.500 0.500 0.000 1
```

uncorrected energy = -7.53 eV/atom
crystal system = tetragonal
energy above the most stable polymorph in this dataset = 0.0 meV/atom
energy of formation from the pure elements = -1.579 eV per formula unit
Fermi-level density of states = 5.59 states/eV/f.u.

=====

[11]
A plane-wave DFT calculation with PBE was carried out for crystalline TbGd2Pd at its relaxed geometry.

The structure in CIF format:
```
data_TbGd2Pd
_chemical_formula_sum 'Tb3 Gd6 Pd3'
_cell_length_a 3.4365
_cell_length_b 3.4365
_cell_length_c 33.2376
_cell_angle_alpha 90.00
_cell_angle_beta 90.00
_cell_angle_gamma 120.00
_space_group_name_H-M_alt 'R -3 m'
_space_group_IT_number 166
_space_group_name_Hall '-R 3 2"'
loop_
_atom_site_label
_atom_site_type_symbol
_atom_site_fract_x
_atom_site_fract_y
_atom_site_fract_z
_atom_site_occupancy
Tb1 Tb 0.0000 0.0000 0.0000 1
Gd1 Gd 0.0000 0.0000 0.4209 1
Pd1 Pd 0.0000 0.0000 0.5000 1
```

uncorrected energy = -9.43 eV/atom
crystal system = trigonal
energy above the most stable polymorph in this dataset = 443.1 meV/atom
energy of formation from the pure elements = 0.255 eV per formula unit
Fermi-level density of states = 3.74 states/eV/f.u.

=====

[12]
A plane-wave DFT calculation with PBE was carried out for crystalline TbGd2Pd at its relaxed geometry.

The structure in CIF format:
```
data_TbGd2Pd
_chemical_formula_sum 'Tb1 Gd2 Pd1'
_cell_length_a 3.611
_cell_length_b 3.611
_cell_length_c 8.439
_cell_angle_alpha 90.00
_cell_angle_beta 90.00
_cell_angle_gamma 90.00
_space_group_name_H-M_alt 'P 4/m m m'
_space_group_IT_number 123
_space_group_name_Hall '-P 4 2'
loop_
_atom_site_label
_atom_site_type_symbol
_atom_site_fract_x
_atom_site_fract_y
_atom_site_fract_z
_atom_site_occupancy
Tb1 Tb 0.000 0.000 0.000 1
Gd1 Gd 0.500 0.500 0.300 1
Pd1 Pd 0.000 0.000 0.500 1
```

uncorrected energy = -9.88 eV/atom
crystal system = tetragonal
energy above the most stable polymorph in this dataset = 0.0 meV/atom
energy of formation from the pure elements = -1.518 eV per formula unit
Fermi-level density of states = 5.80 states/eV/f.u.